1.
A plane-wave DFT calculation with GGA-PBE was carried out for TmP2RuRh5 after structural relaxation.

Summary:
* DFT formation energy: -0.1710 eV/atom
* N(E_F): 7.8 states/eV/cell

a = 3.9088 Å, b = 3.9088 Å, c = 10.5272 Å
α = 90.00°, β = 90.00°, γ = 90.00°
Element x y z (fractional)
Ru 0.0000 0.0000 0.0000
P 0.0000 0.0000 0.7146
P 0.0000 0.0000 0.2854
Rh 0.0000 0.0000 0.5000
Rh 0.0000 0.5000 0.8369
Rh 0.5000 0.0000 0.1631
Rh 0.5000 0.0000 0.8369
Rh 0.0000 0.5000 0.1631
Tm 0.5000 0.5000 0.5000



2.
A plane-wave DFT calculation with GGA-PBE was carried out for ZrAlCr2 after structural relaxation.

Summary:
* DFT formation energy: 0.2695 eV/atom
* N(E_F): 5.2 states/eV/cell

a = 2.7033 Å, b = 2.7033 Å, c = 8.4913 Å
α = 90.00°, β = 90.00°, γ = 104.34°
Element x y z (fractional)
Zr 0.5000 0.5000 0.2500
Cr 0.0000 0.0000 0.9790
Cr 0.0000 0.0000 0.5210
Al 0.5000 0.5000 0.7500



3.
A plane-wave DFT calculation with GGA-PBE was carried out for OsPb2Br after structural relaxation.

Summary:
* energy relative to the elements, uncorrected: 0.445 eV per atom
* E above lowest polymorph: 44.4 meV per atom
* N(E_F): 1.4 states/eV/cell

a = 7.8238 Å, b = 7.8238 Å, c = 4.3900 Å
α = 90.05°, β = 90.05°, γ = 24.54°
Element x y z (fractional)
Br 0.4527 0.4527 0.3764
Pb 0.2549 0.2549 0.3742
Pb 0.0683 0.0683 0.8754
Os 0.7240 0.7240 0.8740